(1)
Compound: Zn2AgPt
Source: Alexandria
Functional: GGA-PBE
Structure: relaxed

E_tot	-0.1161	Ha/atom
M_tot	0.0	μB per cell
mass density	11.71	g/cm³
D(E_F)	1.21	states/eV/f.u.

Cell lengths 2.899, 3.597, 5.901 Å; angles 90.00, 90.00, 90.00 degrees
Positions (direct):
Zn 0.000 0.000 0.234
Zn 0.000 0.000 0.766
Ag 0.500 0.500 0.500
Pt 0.500 0.500 0.000


(2)
Compound: CsK3Sr
Source: Alexandria
Functional: GGA-PBE
Structure: relaxed

E_tot	-0.0321	Ha/atom
M_tot	0.0	μB per cell
offset from the most stable computed form	0.000	eV/atom
mass density	1.10	g/cm³
D(E_F)	7.05	states/eV/f.u.

Cell lengths 7.979, 7.979, 7.979 Å; angles 90.00, 90.00, 90.00 degrees
Positions (direct):
Cs 0.000 0.000 0.000
K 0.000 0.500 0.500
K 0.500 0.000 0.500
K 0.500 0.500 0.000
Sr 0.500 0.500 0.500


(3)
Compound: Al4NiW
Source: Alexandria
Functional: GGA-PBE
Structure: relaxed

E_tot	-0.1986	Ha/atom
M_tot	0.0	μB per cell
mass density	6.59	g/cm³
D(E_F)	4.73	states/eV/f.u.

Cell lengths 4.998, 4.998, 4.998 Å; angles 60.00, 60.00, 60.00 degrees
Positions (direct):
Al 0.125 0.125 0.125
Al 0.125 0.125 0.625
Al 0.125 0.625 0.125
Al 0.625 0.125 0.125
Ni 0.500 0.500 0.500
W 0.750 0.750 0.750


(4)
Compound: La2CePb
Source: Alexandria
Functional: GGA-PBE
Structure: relaxed

E_tot	-0.1874	Ha/atom
M_tot	1.7	μB per cell
offset from the most stable computed form	0.087	eV/atom
mass density	7.97	g/cm³
D(E_F)	8.58	states/eV/f.u.

Cell lengths 4.274, 4.274, 7.128 Å; angles 90.00, 90.00, 90.00 degrees
Positions (direct):
La 0.000 0.000 0.230
La 0.000 0.000 0.770
Ce 0.500 0.500 0.500
Pb 0.500 0.500 0.000


- Which value of D(E_F) does entry 1 give?
  1.21 states/eV/f.u.


- Which of these has the lowest mass density?
  CsK3Sr